VASP calculation (GGA-PBEsol) on an optimized crystal structure of CrNiRu.

```
CrNiRu
1.0
-0.4680 1.8560 -1.6563
-2.9664 -1.7796 -1.1560
-0.3811 1.7630 4.0175
Ru Ni Cr
1 1 1
Cartesian
-1.3979 1.2000 1.7397 Ru
-2.4139 0.6362 -0.5391 Ni
-0.0037 0.0031 0.0045 Cr
```

Properties
ΔE_f   0.26 eV per formula unit

VASP calculation (GGA-PBEsol) on an optimized crystal structure of CrNiRu2.

```
CrNiRu2
1.0
3.7257 0.0000 0.0000
0.0000 3.7257 0.0000
-1.8628 -1.8628 3.4924
Ru Cr Ni
2 1 1
Cartesian
1.8628 0.0000 1.7462 Ru
0.0000 1.8628 1.7462 Ru
1.8628 1.8628 0.0000 Cr
0.0000 0.0000 0.0000 Ni
```

Properties
ΔE_f   0.38 eV per formula unit

VASP calculation (GGA-PBEsol) on an optimized crystal structure of Cr2NiRu.

```
Cr2NiRu
1.0
2.5883 0.0000 0.0000
-1.2941 4.1653 0.0079
0.0000 -0.8491 4.3208
Cr Ni Ru
2 1 1
Cartesian
1.2941 4.1433 0.0270 Cr
0.0000 1.4604 3.1799 Cr
1.2941 -0.4164 2.2397 Ni
1.2941 1.8696 1.0503 Ru
```

Properties
ΔE_f   0.58 eV per formula unit

VASP calculation (GGA-PBEsol) on an optimized crystal structure of CrNiRu2.

```
CrNiRu2
1.0
2.5457 0.0000 -0.0029
0.0000 4.1960 0.0000
-0.2917 0.0000 4.6400
Cr Ni Ru
1 1 2
Cartesian
1.2729 2.0980 -0.0015 Cr
-0.1459 2.0980 2.3200 Ni
1.7297 0.0000 3.4411 Ru
0.5243 0.0000 1.1960 Ru
```

Properties
ΔE_f   1.29 eV per formula unit

VASP calculation (GGA-PBEsol) on an optimized crystal structure of Cr2NiRu.

```
Cr2NiRu
1.0
2.8969 0.0000 0.0000
0.0000 2.8969 0.0000
0.0000 0.0000 5.7515
Cr Ni Ru
2 1 1
Cartesian
0.0000 0.0000 4.3919 Cr
0.0000 0.0000 1.3596 Cr
1.4484 1.4484 0.0000 Ni
1.4484 1.4484 2.8757 Ru
```

Properties
ΔE_f   0.96 eV per formula unit

VASP calculation (GGA-PBEsol) on an optimized crystal structure of CrNiRu2.

```
CrNiRu2
1.0
2.5989 0.0000 0.0199
0.0000 3.6753 0.0000
-0.0401 0.0000 5.0936
Cr Ni Ru
1 1 2
Cartesian
2.5771 0.0000 2.6364 Cr
1.2700 1.8377 3.8028 Ni
2.5590 0.0000 5.0589 Ru
1.2901 1.8377 1.2957 Ru
```

Properties
ΔE_f   0.44 eV per formula unit

VASP calculation (GGA-PBEsol) on an optimized crystal structure of Cr2NiRu.

```
Cr2NiRu
1.0
3.5742 0.0000 0.0000
0.0000 3.5742 0.0000
0.0000 0.0000 3.6018
Ru Cr Ni
1 2 1
Cartesian
0.0000 0.0000 1.8009 Ru
0.0000 1.7871 0.0000 Cr
1.7871 0.0000 0.0000 Cr
1.7871 1.7871 1.8009 Ni
```

Properties
ΔE_f   0.17 eV per formula unit

VASP calculation (GGA-PBEsol) on an optimized crystal structure of Cr2NiS4.

```
Cr2NiS4
1.0
-1.6543 -0.4868 -2.5439
-0.9500 -5.2762 1.6274
-3.2506 4.1837 3.1697
Ni S Cr
1 4 2
Cartesian
-1.3021 -2.8815 -0.4583 Ni
-2.5868 -4.3738 0.6626 S
-3.2681 2.7945 1.5905 S
-1.6171 -1.4156 1.3225 S
-4.2378 -0.1637 0.9307 S
-3.7195 -2.5031 1.0413 Cr
-2.1354 0.9238 1.2118 Cr
```

Properties
Total DFT energy (no corrections)   -0.513 Ry per atom

VASP calculation (GGA-PBEsol) on an optimized crystal structure of CrSiNiS2.

```
CrSiNiS2
1.0
-3.8735 -1.6072 0.7909
-0.4368 -0.9798 -4.1306
1.8546 -4.0890 0.7738
Ni S Si Cr
1 2 1 1
Cartesian
-1.2278 -3.3380 -1.2830 Ni
-0.2184 -0.4899 -2.0653 S
-1.9367 -0.8036 0.3954 S
0.9273 -2.0445 0.3869 Si
0.0000 0.0000 0.0000 Cr
```

Properties
Total DFT energy (no corrections)   -0.407 Ry per atom

VASP calculation (GGA-PBEsol) on an optimized crystal structure of CrNiSb2.

```
CrNiSb2
1.0
3.1805 0.0000 0.0000
0.0000 4.6238 0.0000
0.0000 0.0000 4.6238
Cr Ni Sb
1 1 2
Cartesian
1.5902 2.3119 2.3119 Cr
1.5902 0.0000 0.0000 Ni
0.0000 0.0000 2.3119 Sb
0.0000 2.3119 0.0000 Sb
```

Properties
Relative energy among the computed polymorphs   298 meV/atom

VASP calculation (GGA-PBEsol) on an optimized crystal structure of Cr4NiSb.

```
Cr4NiSb
1.0
-3.9398 2.4443 1.0750
-2.0348 -0.5241 4.2705
0.1879 3.5397 3.1761
Cr Ni Sb
4 1 1
Cartesian
-2.1819 2.0587 3.2131 Cr
-2.0895 3.7994 4.7750 Cr
-4.1194 3.2607 3.7418 Cr
-3.1825 1.8010 5.3133 Cr
-4.3400 4.0949 6.3912 Ni
0.0000 0.0000 0.0000 Sb
```

Properties
Total DFT energy (no corrections)   -0.606 Ry per atom

VASP calculation (GGA-PBEsol) on an optimized crystal structure of CrNiSb2.

```
CrNiSb2
1.0
3.0840 0.0000 0.0000
0.0000 3.9381 0.0000
-1.5420 -1.9691 5.9800
Cr Ni Sb
1 1 2
Cartesian
1.5420 1.9691 0.7397 Cr
0.0000 1.9691 3.2188 Ni
1.5420 1.9691 5.4308 Sb
1.5420 0.0000 2.5706 Sb
```

Properties
Relative energy among the computed polymorphs   217 meV/atom

- Which formula does entry 3 have?
  Cr2NiRu